Entry 1:
DFT (PBE) results for a geometry-optimized RbZn2In2F7 structure.

Summary:
The value obtained for the volume is 780 Å³/cell. The spin magnetization comes out at 0.00 μB/f.u. For the formation energy from raw total energies, the calculation gives -26.06 eV/f.u.

Unit cell a=6.0086 b=6.0086 c=24.9390 alpha=90.00 beta=90.00 gamma=120.00
Space group R32 (No. 155, hexagonal axes)
Unique sites:
1 Rb 0.0000 0.0000 0.0000 x3
2 Zn 0.0000 0.0000 0.4209 x6
3 In 0.0000 0.0000 0.2061 x6
4 F 0.0000 0.0000 0.5000 x3
5 F 0.0029 0.3961 0.9322 x18

***

Entry 2:
DFT (PBE) results for a geometry-optimized Th2PaAg structure.

Summary:
For the excess energy over the best structure of this formula in the dataset, the calculation gives 0 meV per atom. As for the energy of formation: 0.08 eV/f.u. The value obtained for the volume is 107 Å³/cell. The spin magnetization comes out at 0.00 μB/f.u.

Unit cell a=5.6479 b=5.6479 c=3.3687 alpha=90.00 beta=90.00 gamma=90.00
Space group P4/mmm (No. 123)
Unique sites:
1 Th 0.0000 0.5000 0.0000 x2
2 Pa 0.0000 0.0000 0.5000 x1
3 Ag 0.5000 0.5000 0.5000 x1

***

Entry 3:
DFT (PBE) results for a geometry-optimized CeDyThCd structure.

Summary:
As for the energy of formation: 0.37 eV/f.u. The value obtained for the volume is 458 Å³/cell. The spin magnetization comes out at 0.02 μB/f.u.

Unit cell a=7.7085 b=7.7085 c=7.7085 alpha=90.00 beta=90.00 gamma=90.00
Space group F-43m (No. 216)
Unique sites:
1 Ce 0.0000 0.0000 0.0000 x4
2 Dy 0.0000 0.0000 0.5000 x4
3 Th 0.2500 0.2500 0.7500 x4
4 Cd 0.2500 0.2500 0.2500 x4

***

Entry 4:
DFT (PBE) results for a geometry-optimized K3SrSi structure.

Summary:
For the excess energy over the best structure of this formula in the dataset, the calculation gives 0 meV per atom. The value obtained for the volume is 287 Å³/cell. The spin magnetization comes out at 1.00 μB/f.u. For the formation energy from raw total energies, the calculation gives 1.90 eV/f.u.

Unit cell a=6.5928 b=6.5928 c=6.5928 alpha=90.00 beta=90.00 gamma=90.00
Space group Pm-3m (No. 221)
Unique sites:
1 K 0.0000 0.0000 0.5000 x3
2 Sr 0.5000 0.5000 0.5000 x1
3 Si 0.0000 0.0000 0.0000 x1

***

Entry 5:
DFT (PBE) results for a geometry-optimized La2Nd2Y4Tm structure.

Summary:
As for the energy of formation: 0.04 eV/f.u. The value obtained for the volume is 608 Å³/cell. The spin magnetization comes out at 0.00 μB/f.u.

Unit cell a=18.9616 b=3.6606 c=9.7218 alpha=90.00 beta=115.69 gamma=90.00
Space group C2/m (No. 12)
Unique sites:
1 La 0.1642 0.0000 0.4995 x4
2 Nd 0.1474 0.5000 0.1641 x4
3 Y 0.0200 0.0000 0.8321 x4
4 Y 0.1848 0.5000 0.8363 x4
5 Tm 0.0000 0.5000 0.5000 x2

***

Entry 6:
DFT (PBE) results for a geometry-optimized CeIn2Sn2 structure.

Summary:
As for the energy of formation: -1.65 eV/f.u. The value obtained for the volume is 530 Å³/cell. The spin magnetization comes out at 0.75 μB/f.u.

Unit cell a=4.5346 b=25.6125 c=4.5658 alpha=90.00 beta=90.00 gamma=90.00
Space group Cmcm (No. 63)
Unique sites:
1 Ce 0.0000 0.1501 0.2500 x4
2 In 0.0000 0.0490 0.7500 x4
3 In 0.0000 0.4526 0.7500 x4
4 Sn 0.0000 0.2502 0.7500 x4
5 Sn 0.0000 0.3543 0.2500 x4